[1]
DFT (GGA-PBE) results for a geometry-optimized KY2AsBr structure.

Summary:
The energy above the lowest structure with this stoichiometry is 856 meV per atom. The value obtained for the energy relative to the elements, uncorrected is 0.7982 eV per atom. For the total magnetization, the calculation gives 0.00 μB/f.u. The calculation puts the volume at 175.9 Å³ per cell.

Cell: 5.816 5.816 5.199 Å, 90.00 90.00 90.00°
Sites, in units of the cell vectors:
K 0.000 0.000 0.000
Y 0.000 0.500 0.000
Y 0.500 0.000 0.000
As 0.500 0.500 0.500
Br 0.000 0.000 0.500

***

[2]
DFT (GGA-PBE) results for a geometry-optimized HfFeSe2 structure.

Summary:
The energy above the lowest structure with this stoichiometry is 21 meV per atom. The value obtained for the energy relative to the elements, uncorrected is -0.3693 eV per atom. For the total magnetization, the calculation gives 2.44 μB/f.u. The calculation puts the volume at 69.5 Å³ per cell.

Cell: 4.616 4.616 4.616 Å, 60.00 60.00 60.00°
Sites, in units of the cell vectors:
Hf 0.000 0.000 0.000
Fe 0.500 0.500 0.500
Se 0.250 0.250 0.250
Se 0.750 0.750 0.750

***

[3]
DFT (GGA-PBE) results for a geometry-optimized SrScSe2Br structure.

Summary:
The energy above the lowest structure with this stoichiometry is 1199 meV per atom. The value obtained for the energy relative to the elements, uncorrected is -0.4165 eV per atom. For the total magnetization, the calculation gives 0.00 μB/f.u. The calculation puts the volume at 179.5 Å³ per cell.

Cell: 5.716 5.716 5.493 Å, 90.00 90.00 90.00°
Sites, in units of the cell vectors:
Sr 0.000 0.000 0.000
Sc 0.500 0.500 0.500
Se 0.000 0.500 0.000
Se 0.500 0.000 0.000
Br 0.000 0.000 0.500

***

[4]
DFT (GGA-PBE) results for a geometry-optimized Y2CrPb structure.

Summary:
The calculation puts the total energy at -6.2538 eV/atom. For the total magnetization, the calculation gives 4.08 μB/f.u. The calculation puts the volume at 110.4 Å³ per cell.

Cell: 10.326 10.326 10.326 Å, 19.79 19.79 19.79°
Sites, in units of the cell vectors:
Y 0.000 0.000 0.000
Y 0.237 0.237 0.237
Cr 0.489 0.489 0.489
Pb 0.753 0.753 0.753